(1)
Nd2ErGa4Pd3: optimized geometry, GGA-PBE.

abc: 4.235 4.235 11.747
angles: 90.00 90.00 90.00
Sites, in units of the cell vectors:
1 Pd 0.000 0.500 0.123
2 Nd 0.500 0.000 0.227
3 Ga 0.500 0.500 0.000
4 Ga 0.000 0.000 0.000
5 Pd 0.500 0.000 0.877
6 Er 0.500 0.500 0.500
7 Pd 0.000 0.000 0.500
8 Ga 0.500 0.000 0.666
9 Nd 0.000 0.500 0.773
10 Ga 0.000 0.500 0.334

Summary:
Space group: P-4m2, No. 115
Energy of formation (eV per atom): -0.73
Density (g cm⁻³): 8.3

***

(2)
NdErGaPd: optimized geometry, GGA-PBE.

abc: 3.812 4.466 5.940
angles: 90.00 108.72 90.00
Sites, in units of the cell vectors:
1 Er 0.860 0.500 0.721
2 Pd 0.422 0.000 0.845
3 Nd 0.146 0.000 0.293
4 Ga 0.571 0.500 0.142

Summary:
Space group: Amm2, No. 38
Energy of formation (eV per atom): -0.70
Density (g cm⁻³): 8.5